# 1
Below is an optimized crystal structure of Li2InCo, with properties calculated at the PBE level.

Results
Crystal system: tetragonal

```
data_Li2InCo
_chemical_formula_sum 'Li2 In1 Co1'
_cell_length_a 3.135
_cell_length_b 3.135
_cell_length_c 6.297
_cell_angle_alpha 90.00
_cell_angle_beta 90.00
_cell_angle_gamma 90.00
_symmetry_space_group_name_H-M 'P 4 m m'
_symmetry_Int_Tables_number 99
_symmetry_space_group_name_Hall 'P 4 -2'
loop_
_atom_site_label
_atom_site_type_symbol
_atom_site_fract_x
_atom_site_fract_y
_atom_site_fract_z
Li1 Li 0.000 0.000 0.000
Li2 Li 0.500 0.500 0.258
In1 In 0.500 0.500 0.702
Co1 Co 0.000 0.000 0.470
```

***

# 2
Below is an optimized crystal structure of Li2InCo, with properties calculated at the PBE level.

Results
Crystal system: monoclinic

```
data_Li2InCo
_chemical_formula_sum 'Li4 In2 Co2'
_cell_length_a 5.289
_cell_length_b 9.430
_cell_length_c 2.844
_cell_angle_alpha 90.00
_cell_angle_beta 117.67
_cell_angle_gamma 90.00
_symmetry_space_group_name_H-M 'C 1 2/m 1'
_symmetry_Int_Tables_number 12
_symmetry_space_group_name_Hall '-C 2y'
loop_
_atom_site_label
_atom_site_type_symbol
_atom_site_fract_x
_atom_site_fract_y
_atom_site_fract_z
Li1 Li 0.250 0.250 0.000
In1 In 0.000 0.000 0.500
Co1 Co 0.000 0.500 0.500
```

***

Raw total energy readings, ordered: -13.4 -26.8 eV/cell